No. 1
An optimized crystal structure of Sm3PbCCl. Source: the Alexandria database, functional PBE-GGA.

Calculated values
* total energy: -65.5 eV per cell
* SG: No. 11
* E_form (uncorrected): -365.7 kJ/mol of formula units
* spin magnetization: 0.00 μB per formula unit

Cell and atoms, written as POSCAR:
```
Sm3PbCCl
1.0
-1.250 -2.348 2.650
7.128 1.037 4.280
-6.284 7.571 3.745
Sm C Pb Cl
6 2 2 2
Direct
0.750 0.366 0.618
0.250 0.576 0.892
0.750 0.424 0.108
0.250 0.138 0.843
0.750 0.862 0.157
0.250 0.634 0.382
0.250 0.654 0.138
0.750 0.346 0.862
0.250 0.229 0.285
0.750 0.771 0.715
0.250 0.119 0.589
0.750 0.881 0.411
```

***

No. 2
An optimized crystal structure of Pu2InIr. Source: the Alexandria database, functional PBE-GGA.

Calculated values
* total energy: -40.1 eV per cell
* E above lowest polymorph: 375.5 meV per atom
* ΔH_f (0 K): 29.2 meV/atom
* SG: No. 166
* spin magnetization: 10.89 μB per formula unit

Cell and atoms, written as POSCAR:
```
Pu2InIr
1.0
3.780 0.000 0.000
1.890 3.274 0.000
1.890 1.091 9.946
Pu Ir In
2 1 1
Direct
0.111 0.111 0.668
0.889 0.889 0.332
0.500 0.500 0.500
0.000 0.000 0.000
```

***

No. 3
An optimized crystal structure of Tb2Sm5Mg. Source: the Alexandria database, functional PBE-GGA.

Calculated values
* total energy: -34.4 eV per cell
* E above lowest polymorph: 0.0 meV per atom
* ΔH_f (0 K): 8.6 meV/atom
* SG: No. 139
* spin magnetization: 0.00 μB per formula unit

Cell and atoms, written as POSCAR:
```
Tb2Sm5Mg
1.0
-5.333 -2.553 -4.000
4.744 -3.136 -4.315
0.145 -1.277 6.988
Sm Tb Mg
5 2 1
Direct
0.722 0.222 0.944
0.722 0.722 0.445
0.222 0.722 0.944
0.722 0.722 0.944
0.222 0.222 0.944
0.722 0.222 0.444
0.222 0.722 0.444
0.222 0.222 0.444
```

***

No. 4
An optimized crystal structure of Tb2DyTl9. Source: the Alexandria database, functional PBE-GGA.

Calculated values
* total energy: -38.1 eV per cell
* ΔH_f (0 K): -246.0 meV/atom
* SG: No. 123
* spin magnetization: 0.00 μB per formula unit

Cell and atoms, written as POSCAR:
```
Tb2DyTl9
1.0
4.770 0.000 0.000
0.000 4.770 0.000
0.000 0.000 14.308
Tb Dy Tl
2 1 9
Direct
0.000 0.000 0.667
0.000 0.000 0.333
0.000 0.000 0.000
0.500 0.000 0.834
0.500 0.000 0.166
0.500 0.500 0.000
0.500 0.500 0.333
0.500 0.000 0.500
0.000 0.500 0.500
0.000 0.500 0.834
0.500 0.500 0.667
0.000 0.500 0.166
```